i:
The following is a DFT calculation (GGA-PBE) of LaNpS4 after structural relaxation.

Cell: 4.616 4.616 6.696 Å, 90.00 90.00 90.00°
Fractional coordinates of all 6 atoms:
La  0.000  0.000  0.000
Np  0.500  0.500  0.500
S  0.000  0.500  0.271
S  0.000  0.500  0.729
S  0.500  0.000  0.271
S  0.500  0.000  0.729

Results
crystal system	tetragonal



ii:
The following is a DFT calculation (GGA-PBE) of LaNpS4 after structural relaxation.

Cell: 7.655 7.655 6.489 Å, 108.53 108.53 111.55°
Fractional coordinates of all 12 atoms:
La  0.132  0.868  0.750
La  0.868  0.132  0.250
Np  0.463  0.537  0.250
Np  0.537  0.463  0.750
S  0.157  0.271  0.771
S  0.214  0.568  0.427
S  0.271  0.157  0.271
S  0.432  0.786  0.073
S  0.568  0.214  0.927
S  0.729  0.843  0.729
S  0.786  0.432  0.573
S  0.843  0.729  0.229

Results
crystal system	monoclinic



In terms of stability, i leads; the second structure lies 43 meV per atom higher.